First-principles (PBE) data for La2NdSnC after structural relaxation, as listed in Alexandria.

Lattice parameters (Å, degrees): 5.1993 5.1993 5.1577 90.00 90.00 90.00
With the nearest neighbours (Å) after each atom.
Space group P4/mmm (No. 123)
Symmetry-distinct sites (fractional):
La 0.0000 0.5000 0.0000  2 C 2.60
Nd 0.0000 0.0000 0.5000  2 C 2.58
Sn 0.5000 0.5000 0.5000  8 La 3.66, 4 Nd 3.68
C 0.0000 0.0000 0.0000  2 Nd 2.58, 4 La 2.60

First-principles (PBE) data for La2NdTc2C4 after structural relaxation, as listed in Alexandria.

Lattice parameters (Å, degrees): 14.6711 3.6073 6.0767 90.00 105.14 90.00
With the nearest neighbours (Å) after each atom.
Space group C2/m (No. 12)
Symmetry-distinct sites (fractional):
La 0.1396 0.0000 0.0358  5 C 2.67-2.90
Nd 0.0000 0.0000 0.5000  4 C 2.59
Tc 0.1838 0.5000 0.5175  4 C 1.90-2.12
C 0.0694 0.5000 0.2833  1 Tc 1.90
C 0.2208 0.0000 0.6905  3 Tc 2.09-2.12

First-principles (PBE) data for LaNd2TlC after structural relaxation, as listed in Alexandria.

Lattice parameters (Å, degrees): 5.1632 5.1632 5.1836 90.00 90.00 90.00
With the nearest neighbours (Å) after each atom.
Space group P4/mmm (No. 123)
Symmetry-distinct sites (fractional):
La 0.0000 0.0000 0.0000  2 C 2.59
Nd 0.0000 0.5000 0.5000  2 C 2.58
Tl 0.5000 0.5000 0.0000  4 La 3.65, 8 Nd 3.66
C 0.0000 0.0000 0.5000  4 Nd 2.58, 2 La 2.59

First-principles (PBE) data for La3Ni4C2 after structural relaxation, as listed in Alexandria.

Lattice parameters (Å, degrees): 10.6350 3.7421 7.7369 90.00 94.65 90.00
With the nearest neighbours (Å) after each atom.
Space group C2/m (No. 12)
Symmetry-distinct sites (fractional):
La 0.0000 0.0000 0.0000  6 Ni 2.75-2.93
La 0.1444 0.5000 0.6481  2 C 2.72-2.76, 3 Ni 2.87-3.02
Ni 0.0857 0.0000 0.3451  2 C 1.93
Ni 0.2062 0.5000 0.0966  1 C 1.93
C 0.1090 0.5000 0.2966  3 Ni 1.93

| no. | energy relative to the elements (eV per atom) | size of the total moment (μB/cell) |
| --- | --- | --- |
| 1 | -0.48 | 0.00 |
| 2 | 0.00 | 0.00 |
| 3 | -0.28 | 0.00 |
| 4 | -0.16 | 0.00 |